No. 1
Tm3Sc2Cd3: optimized geometry, PBE-GGA.

## Properties
**Calculated volume**: 25.19 Å³/atom
**E_tot**: -0.141 Ha/atom
**Energy of formation from the pure elements**: -0.222 eV/atom
**Total magnetic moment**: 0.0 μB per cell

POSCAR file:
```
Tm3Sc2Cd3
1.0
-1.817 2.591 10.705
1.817 -2.591 10.705
1.817 2.591 -10.705
Tm Sc Cd
3 2 3
Cartesian
0.000 0.000 0.000
1.817 0.000 7.996
0.000 2.591 2.709
0.000 0.000 5.053
0.000 0.000 16.356
1.817 0.000 2.629
0.000 0.000 10.705
0.000 2.591 8.076
```



No. 2
Sb2MoBr: optimized geometry, PBE-GGA.

## Properties
**Calculated volume**: 22.00 Å³/atom
**Formation energy without anion corrections**: 0.64 eV per atom
**E_tot**: -0.167 Ha/atom
**Total magnetic moment**: 0.8 μB per cell
**Excess energy over the best structure of this formula in the dataset**: 560 meV per atom

POSCAR file:
```
Sb2MoBr
1.0
-2.286 2.286 4.211
2.286 -2.286 4.211
2.286 2.286 -4.211
Sb Mo Br
2 1 1
Cartesian
2.286 0.000 2.106
0.000 2.286 2.106
0.000 0.000 0.000
0.000 0.000 4.211
```



No. 3
Mg2Os2O7: optimized geometry, PBE-GGA.

## Properties
**Calculated volume**: 11.59 Å³/atom
**Formation energy without anion corrections**: -1.47 eV per atom
**E_tot**: -0.256 Ha/atom
**Total magnetic moment**: 0.7 μB per cell

POSCAR file:
```
Mg2Os2O7
1.0
0.000 5.033 5.033
5.033 0.000 5.033
5.033 5.033 0.000
Mg Os O
4 4 14
Cartesian
0.000 0.000 0.000
2.517 2.517 0.000
2.517 0.000 2.517
0.000 2.517 2.517
5.033 2.517 2.517
2.517 5.033 2.517
2.517 2.517 5.033
5.033 5.033 5.033
1.258 1.258 1.258
3.775 3.775 1.759
3.775 1.759 3.775
5.791 3.775 3.775
6.291 6.291 4.275
6.291 4.275 6.291
8.307 6.291 6.291
1.759 3.775 3.775
3.775 5.791 3.775
3.775 3.775 5.791
4.275 6.291 6.291
6.291 8.307 6.291
6.291 6.291 8.307
8.808 8.808 8.808
```



No. 4
ErSi2Os: optimized geometry, PBE-GGA.

## Properties
**Calculated volume**: 17.32 Å³/atom
**Formation energy without anion corrections**: -0.69 eV per atom
**E_tot**: -0.270 Ha/atom
**Total magnetic moment**: 0.0 μB per cell

POSCAR file:
```
ErSi2Os
1.0
6.906 0.000 0.000
0.000 4.064 0.000
0.000 0.000 9.873
Er Si Os
4 8 4
Cartesian
1.074 1.016 1.255
2.379 3.048 6.192
4.527 1.016 3.681
5.832 3.048 8.618
1.001 1.016 8.067
1.409 1.016 4.187
2.044 3.048 9.124
2.452 3.048 3.131
4.454 1.016 6.742
4.861 1.016 0.749
5.497 3.048 5.686
5.905 3.048 1.806
0.119 3.048 3.854
3.334 1.016 8.791
3.572 3.048 1.082
6.787 1.016 6.019
```